No. 1
# Nd4PdO7 (PBE-GGA, optimized geometry)
data_Nd4PdO7
_chemical_formula_sum 'Nd8 Pd2 O14'
_symmetry_space_group_name_H-M 'P 1'
_symmetry_Int_Tables_number 1
_cell_length_a 7.016
_cell_length_b 7.366
_cell_length_c 7.989
_cell_angle_alpha 69.52
_cell_angle_beta 71.89
_cell_angle_gamma 84.21
loop_
_symmetry_equiv_pos_as_xyz
'x,y,z'
loop_
_atom_site_label
_atom_site_fract_x
_atom_site_fract_y
_atom_site_fract_z
_atom_site_occupancy
Nd1 0.667 0.827 0.379 1
Nd2 0.333 0.173 0.621 1
Nd3 0.636 0.857 0.855 1
Nd4 0.364 0.143 0.145 1
Nd5 0.790 0.396 0.730 1
Nd6 0.210 0.604 0.270 1
Nd7 0.794 0.371 0.215 1
Nd8 0.206 0.629 0.785 1
Pd1 0.000 0.000 0.500 1
Pd2 0.000 0.000 0.000 1
O1 0.946 0.068 0.742 1
O2 0.054 0.932 0.258 1
O3 0.705 0.072 0.506 1
O4 0.295 0.928 0.494 1
O5 0.739 0.140 0.084 1
O6 0.261 0.860 0.916 1
O7 0.440 0.342 0.298 1
O8 0.560 0.658 0.702 1
O9 0.493 0.209 0.825 1
O10 0.507 0.791 0.175 1
O11 0.154 0.417 0.095 1
O12 0.846 0.583 0.905 1
O13 0.156 0.460 0.600 1
O14 0.844 0.540 0.400 1
# Raw formation energy, meV per atom: -2877
# DFT total energy, eV/cell: -187.0


No. 2
# FeSbSe3 (PBE-GGA, optimized geometry)
data_FeSbSe3
_chemical_formula_sum 'Fe1 Sb1 Se3'
_symmetry_space_group_name_H-M 'P 1'
_symmetry_Int_Tables_number 1
_cell_length_a 4.767
_cell_length_b 4.767
_cell_length_c 4.767
_cell_angle_alpha 90.00
_cell_angle_beta 90.00
_cell_angle_gamma 90.00
loop_
_symmetry_equiv_pos_as_xyz
'x,y,z'
loop_
_atom_site_label
_atom_site_fract_x
_atom_site_fract_y
_atom_site_fract_z
_atom_site_occupancy
Sb1 0.500 0.500 0.500 1
Fe1 0.000 0.000 0.000 1
Se1 0.000 0.500 0.000 1
Se2 0.000 0.000 0.500 1
Se3 0.500 0.000 0.000 1
# DOS at the Fermi energy, states/eV per cell: 4.9
# Raw formation energy, meV per atom: 229
# DFT total energy, eV/cell: -21.9


No. 3
# LaCrAgC2 (PBE-GGA, optimized geometry)
data_LaCrAgC2
_chemical_formula_sum 'La1 Cr1 Ag1 C2'
_symmetry_space_group_name_H-M 'P 1'
_symmetry_Int_Tables_number 1
_cell_length_a 4.336
_cell_length_b 4.336
_cell_length_c 4.779
_cell_angle_alpha 90.00
_cell_angle_beta 90.00
_cell_angle_gamma 90.00
loop_
_symmetry_equiv_pos_as_xyz
'x,y,z'
loop_
_atom_site_label
_atom_site_fract_x
_atom_site_fract_y
_atom_site_fract_z
_atom_site_occupancy
Cr1 0.000 0.000 0.500 1
C1 0.000 0.500 0.000 1
C2 0.500 0.000 0.000 1
Ag1 0.000 0.000 0.000 1
La1 0.500 0.500 0.500 1
# DOS at the Fermi energy, states/eV per cell: 3.6
# Energy of formation from the pure elements, meV per atom: 1899
# DFT total energy, eV/cell: -26.4


No. 4
# Na5Sb2S5 (PBE-GGA, optimized geometry)
data_Na5Sb2S5
_chemical_formula_sum 'Na5 Sb2 S5'
_symmetry_space_group_name_H-M 'P 1'
_symmetry_Int_Tables_number 1
_cell_length_a 4.327
_cell_length_b 6.635
_cell_length_c 12.182
_cell_angle_alpha 107.04
_cell_angle_beta 90.00
_cell_angle_gamma 109.03
loop_
_symmetry_equiv_pos_as_xyz
'x,y,z'
loop_
_atom_site_label
_atom_site_fract_x
_atom_site_fract_y
_atom_site_fract_z
_atom_site_occupancy
Na1 0.500 0.000 0.500 1
Na2 0.650 0.300 0.046 1
Na3 0.735 0.470 0.365 1
Na4 0.265 0.530 0.635 1
Na5 0.350 0.700 0.954 1
Sb1 0.043 0.086 0.783 1
Sb2 0.957 0.914 0.217 1
S1 0.107 0.214 0.413 1
S2 0.669 0.337 0.792 1
S3 0.331 0.663 0.208 1
S4 0.893 0.786 0.587 1
S5 0.000 0.000 0.000 1
# DOS at the Fermi energy, states/eV per cell: 1.2
# Raw formation energy, meV per atom: -664
# DFT total energy, eV/cell: -43.4


No. 5
# Y2Co3Ni (PBE-GGA, optimized geometry)
data_Y2Co3Ni
_chemical_formula_sum 'Y2 Co3 Ni1'
_symmetry_space_group_name_H-M 'P 1'
_symmetry_Int_Tables_number 1
_cell_length_a 5.010
_cell_length_b 5.010
_cell_length_c 5.164
_cell_angle_alpha 90.01
_cell_angle_beta 118.97
_cell_angle_gamma 120.05
loop_
_symmetry_equiv_pos_as_xyz
'x,y,z'
loop_
_atom_site_label
_atom_site_fract_x
_atom_site_fract_y
_atom_site_fract_z
_atom_site_occupancy
Y1 0.756 0.378 0.133 1
Y2 0.244 0.622 0.867 1
Co1 0.500 0.500 0.500 1
Co2 0.000 0.000 0.500 1
Co3 0.500 0.000 0.500 1
Ni1 0.000 0.000 0.000 1
# DOS at the Fermi energy, states/eV per cell: 4.2
# Energy of formation from the pure elements, meV per atom: -239
# DFT total energy, eV/cell: -41.5


No. 6
# AcPIrO (PBE-GGA, optimized geometry)
data_AcPIrO
_chemical_formula_sum 'Ac2 P2 Ir2 O2'
_symmetry_space_group_name_H-M 'P 1'
_symmetry_Int_Tables_number 1
_cell_length_a 4.073
_cell_length_b 4.073
_cell_length_c 9.016
_cell_angle_alpha 90.00
_cell_angle_beta 90.00
_cell_angle_gamma 90.00
loop_
_symmetry_equiv_pos_as_xyz
'x,y,z'
loop_
_atom_site_label
_atom_site_fract_x
_atom_site_fract_y
_atom_site_fract_z
_atom_site_occupancy
Ac1 0.500 0.000 0.650 1
Ac2 0.000 0.500 0.350 1
P1 0.000 0.500 0.859 1
P2 0.500 0.000 0.141 1
Ir1 0.500 0.500 0.000 1
Ir2 0.000 0.000 0.000 1
O1 0.000 0.000 0.500 1
O2 0.500 0.500 0.500 1
# DOS at the Fermi energy, states/eV per cell: 3.1
# Raw formation energy, meV per atom: -1938
# DFT total energy, eV/cell: -62.2


No. 7
# YPuMg2 (PBE-GGA, optimized geometry)
data_YPuMg2
_chemical_formula_sum 'Y1 Pu1 Mg2'
_symmetry_space_group_name_H-M 'P 1'
_symmetry_Int_Tables_number 1
_cell_length_a 3.251
_cell_length_b 3.251
_cell_length_c 10.022
_cell_angle_alpha 90.00
_cell_angle_beta 90.00
_cell_angle_gamma 90.00
loop_
_symmetry_equiv_pos_as_xyz
'x,y,z'
loop_
_atom_site_label
_atom_site_fract_x
_atom_site_fract_y
_atom_site_fract_z
_atom_site_occupancy
Y1 0.500 0.500 0.500 1
Mg1 0.000 0.000 0.749 1
Mg2 0.000 0.000 0.251 1
Pu1 0.500 0.500 0.000 1
# DOS at the Fermi energy, states/eV per cell: 9.0
# Energy of formation from the pure elements, meV per atom: 77
# DFT total energy, eV/cell: -23.7


No. 8
# Pm3SCl7 (PBE-GGA, optimized geometry)
data_Pm3SCl7
_chemical_formula_sum 'Pm3 S1 Cl7'
_symmetry_space_group_name_H-M 'P 1'
_symmetry_Int_Tables_number 1
_cell_length_a 6.702
_cell_length_b 8.337
_cell_length_c 8.337
_cell_angle_alpha 120.00
_cell_angle_beta 90.00
_cell_angle_gamma 90.00
loop_
_symmetry_equiv_pos_as_xyz
'x,y,z'
loop_
_atom_site_label
_atom_site_fract_x
_atom_site_fract_y
_atom_site_fract_z
_atom_site_occupancy
Pm1 0.776 0.494 0.506 1
Pm2 0.776 0.494 0.988 1
Pm3 0.776 0.012 0.506 1
S1 0.566 0.333 0.667 1
Cl1 0.001 0.177 0.823 1
Cl2 0.001 0.177 0.354 1
Cl3 0.004 0.667 0.333 1
Cl4 0.571 0.821 0.179 1
Cl5 0.571 0.358 0.179 1
Cl6 0.571 0.821 0.642 1
Cl7 0.001 0.646 0.823 1
# DOS at the Fermi energy, states/eV per cell: 0.0
# Raw formation energy, meV per atom: -2201
# DFT total energy, eV/cell: -55.5


No. 9
# La5NiCl4 (PBE-GGA, optimized geometry)
data_La5NiCl4
_chemical_formula_sum 'La5 Ni1 Cl4'
_symmetry_space_group_name_H-M 'P 1'
_symmetry_Int_Tables_number 1
_cell_length_a 5.874
_cell_length_b 7.229
_cell_length_c 7.229
_cell_angle_alpha 80.50
_cell_angle_beta 66.03
_cell_angle_gamma 66.03
loop_
_symmetry_equiv_pos_as_xyz
'x,y,z'
loop_
_atom_site_label
_atom_site_fract_x
_atom_site_fract_y
_atom_site_fract_z
_atom_site_occupancy
La1 0.902 0.389 0.809 1
La2 0.291 0.809 0.611 1
La3 0.711 0.191 0.389 1
La4 0.100 0.611 0.191 1
La5 0.501 0.000 0.000 1
Ni1 0.001 0.000 0.000 1
Cl1 0.402 0.401 0.797 1
Cl2 0.803 0.797 0.599 1
Cl3 0.199 0.203 0.401 1
Cl4 0.600 0.599 0.203 1
# DOS at the Fermi energy, states/eV per cell: 8.0
# Raw formation energy, meV per atom: -1334
# DFT total energy, eV/cell: -51.1


No. 10
# Ac2CeF (PBE-GGA, optimized geometry)
data_Ac2CeF
_chemical_formula_sum 'Ac2 Ce1 F1'
_symmetry_space_group_name_H-M 'P 1'
_symmetry_Int_Tables_number 1
_cell_length_a 3.898
_cell_length_b 3.898
_cell_length_c 10.517
_cell_angle_alpha 79.32
_cell_angle_beta 79.32
_cell_angle_gamma 60.00
loop_
_symmetry_equiv_pos_as_xyz
'x,y,z'
loop_
_atom_site_label
_atom_site_fract_x
_atom_site_fract_y
_atom_site_fract_z
_atom_site_occupancy
Ac1 0.114 0.114 0.657 1
Ac2 0.886 0.886 0.343 1
Ce1 0.000 0.000 0.000 1
F1 0.500 0.500 0.500 1
# DOS at the Fermi energy, states/eV per cell: 9.6
# Raw formation energy, meV per atom: -801
# DFT total energy, eV/cell: -19.2


No. 11
# LiTi2Te4 (PBE-GGA, optimized geometry)
data_LiTi2Te4
_chemical_formula_sum 'Li2 Ti4 Te8'
_symmetry_space_group_name_H-M 'P 1'
_symmetry_Int_Tables_number 1
_cell_length_a 3.891
_cell_length_b 6.824
_cell_length_c 14.030
_cell_angle_alpha 90.00
_cell_angle_beta 90.00
_cell_angle_gamma 106.57
loop_
_symmetry_equiv_pos_as_xyz
'x,y,z'
loop_
_atom_site_label
_atom_site_fract_x
_atom_site_fract_y
_atom_site_fract_z
_atom_site_occupancy
Li1 0.608 0.216 0.750 1
Li2 0.392 0.784 0.250 1
Ti1 0.136 0.272 0.432 1
Ti2 0.864 0.728 0.932 1
Ti3 0.136 0.272 0.068 1
Ti4 0.864 0.728 0.568 1
Te1 0.778 0.556 0.118 1
Te2 0.778 0.556 0.382 1
Te3 0.222 0.444 0.882 1
Te4 0.222 0.444 0.618 1
Te5 0.944 0.888 0.750 1
Te6 0.056 0.112 0.250 1
Te7 0.500 0.000 0.000 1
Te8 0.500 0.000 0.500 1
# DOS at the Fermi energy, states/eV per cell: 7.7
# Raw formation energy, meV per atom: -655
# DFT total energy, eV/cell: -69.7